Below is a relaxed PrZn2GaPt2 crystal, with properties calculated at the PBE-GGA level.

Results
As for the crystal system: tetragonal. As for the formation energy: -0.355 eV/atom. As for the total DFT energy (no corrections): -4.09 eV per atom. As for the space group: P4/mmm.

a = 4.7089 Å, b = 4.7089 Å, c = 5.6634 Å
α = 90.00°, β = 90.00°, γ = 90.00°
Fractional coordinates of all 6 atoms:
Pr 0.0000 0.0000 0.0000
Zn 0.5000 0.5000 0.2429
Zn 0.5000 0.5000 0.7571
Ga 0.0000 0.0000 0.5000
Pt 0.0000 0.5000 0.5000
Pt 0.5000 0.0000 0.5000


Below is a relaxed Pr2ZnGa4Pt3 crystal, with properties calculated at the PBE-GGA level.

Results
As for the crystal system: tetragonal. As for the formation energy: -0.864 eV/atom. As for the total DFT energy (no corrections): -4.97 eV per atom. As for the space group: P-4m2.

a = 4.3045 Å, b = 4.3045 Å, c = 10.6029 Å
α = 90.00°, β = 90.00°, γ = 90.00°
Fractional coordinates of all 10 atoms:
Pr 0.0000 0.5000 0.2459
Pr 0.5000 0.0000 0.7541
Zn 0.0000 0.0000 0.5000
Ga 0.0000 0.0000 0.0000
Ga 0.0000 0.5000 0.6330
Ga 0.5000 0.0000 0.3670
Ga 0.5000 0.5000 0.0000
Pt 0.0000 0.5000 0.8685
Pt 0.5000 0.0000 0.1315
Pt 0.5000 0.5000 0.5000


Below is a relaxed Pr2ZnGa2Pt5 crystal, with properties calculated at the PBE-GGA level.

Results
As for the crystal system: tetragonal. As for the formation energy: -0.747 eV/atom. As for the total DFT energy (no corrections): -5.46 eV per atom. As for the space group: P4/mbm.

a = 10.3059 Å, b = 10.3059 Å, c = 3.5199 Å
α = 90.00°, β = 90.00°, γ = 90.00°
Fractional coordinates of all 20 atoms:
Pr 0.1764 0.3236 0.0000
Pr 0.3236 0.8236 0.0000
Pr 0.6764 0.1764 0.0000
Pr 0.8236 0.6764 0.0000
Zn 0.0000 0.0000 0.0000
Zn 0.5000 0.5000 0.0000
Ga 0.1261 0.6261 0.0000
Ga 0.3739 0.1261 0.0000
Ga 0.6261 0.8739 0.0000
Ga 0.8739 0.3739 0.0000
Pt 0.0000 0.5000 0.5000
Pt 0.0533 0.8020 0.5000
Pt 0.1980 0.0533 0.5000
Pt 0.3020 0.5533 0.5000
Pt 0.4467 0.3020 0.5000
Pt 0.5000 0.0000 0.5000
Pt 0.5533 0.6980 0.5000
Pt 0.6980 0.4467 0.5000
Pt 0.8020 0.9467 0.5000
Pt 0.9467 0.1980 0.5000


Below is a relaxed PrZnGa2Pt crystal, with properties calculated at the PBE-GGA level.

Results
As for the crystal system: tetragonal. As for the formation energy: -0.697 eV/atom. As for the total DFT energy (no corrections): -4.33 eV per atom. As for the space group: I-4m2.

a = 6.0895 Å, b = 6.0895 Å, c = 6.0895 Å
α = 138.71°, β = 138.71°, γ = 59.82°
Fractional coordinates of all 5 atoms:
Pr 0.0000 0.0000 0.0000
Zn 0.7500 0.2500 0.5000
Ga 0.3810 0.3810 0.0000
Ga 0.6190 0.6190 0.0000
Pt 0.2500 0.7500 0.5000


Below is a relaxed PrZnGa3Pt crystal, with properties calculated at the PBE-GGA level.

Results
As for the crystal system: orthorhombic. As for the formation energy: -0.341 eV/atom. As for the total DFT energy (no corrections): -3.87 eV per atom. As for the space group: Cmcm.

a = 6.9064 Å, b = 6.9064 Å, c = 6.1350 Å
α = 90.00°, β = 90.00°, γ = 122.30°
Fractional coordinates of all 12 atoms:
Pr 0.2102 0.7898 0.7500
Pr 0.7898 0.2102 0.2500
Zn 0.4482 0.5518 0.7500
Zn 0.5518 0.4482 0.2500
Ga 0.2029 0.2029 0.0000
Ga 0.2029 0.2029 0.5000
Ga 0.3414 0.6586 0.2500
Ga 0.6586 0.3414 0.7500
Ga 0.7971 0.7971 0.0000
Ga 0.7971 0.7971 0.5000
Pt 0.1358 0.8642 0.2500
Pt 0.8642 0.1358 0.7500


Below is a relaxed Pr2Zn3GaPt4 crystal, with properties calculated at the PBE-GGA level.

Results
As for the crystal system: tetragonal. As for the formation energy: -0.809 eV/atom. As for the total DFT energy (no corrections): -4.87 eV per atom. As for the space group: P-4m2.

a = 4.2508 Å, b = 4.2508 Å, c = 10.7366 Å
α = 90.00°, β = 90.00°, γ = 90.00°
Fractional coordinates of all 10 atoms:
Pr 0.0000 0.5000 0.2430
Pr 0.5000 0.0000 0.7570
Zn 0.0000 0.5000 0.8673
Zn 0.5000 0.0000 0.1327
Zn 0.5000 0.5000 0.5000
Ga 0.0000 0.0000 0.5000
Pt 0.0000 0.0000 0.0000
Pt 0.0000 0.5000 0.6343
Pt 0.5000 0.0000 0.3657
Pt 0.5000 0.5000 0.0000


Below is a relaxed Pr2ZnGa3Pt4 crystal, with properties calculated at the PBE-GGA level.

Results
As for the crystal system: tetragonal. As for the formation energy: -0.919 eV/atom. As for the total DFT energy (no corrections): -5.33 eV per atom. As for the space group: P-4m2.

a = 4.1995 Å, b = 4.1995 Å, c = 11.0102 Å
α = 90.00°, β = 90.00°, γ = 90.00°
Fractional coordinates of all 10 atoms:
Pr 0.0000 0.5000 0.2477
Pr 0.5000 0.0000 0.7523
Zn 0.5000 0.5000 0.0000
Ga 0.0000 0.0000 0.0000
Ga 0.0000 0.5000 0.6326
Ga 0.5000 0.0000 0.3674
Pt 0.0000 0.0000 0.5000
Pt 0.0000 0.5000 0.8614
Pt 0.5000 0.0000 0.1386
Pt 0.5000 0.5000 0.5000


Below is a relaxed Pr2Zn2GaPt5 crystal, with properties calculated at the PBE-GGA level.

Results
As for the crystal system: tetragonal. As for the formation energy: -0.752 eV/atom. As for the total DFT energy (no corrections): -5.29 eV per atom. As for the space group: P4/mbm.

a = 9.8771 Å, b = 9.8771 Å, c = 3.7767 Å
α = 90.00°, β = 90.00°, γ = 90.00°
Fractional coordinates of all 20 atoms:
Pr 0.1777 0.3223 0.0000
Pr 0.3223 0.8223 0.0000
Pr 0.6777 0.1777 0.0000
Pr 0.8223 0.6777 0.0000
Zn 0.1211 0.6211 0.0000
Zn 0.3789 0.1211 0.0000
Zn 0.6211 0.8789 0.0000
Zn 0.8789 0.3789 0.0000
Ga 0.0000 0.0000 0.0000
Ga 0.5000 0.5000 0.0000
Pt 0.0000 0.5000 0.5000
Pt 0.0589 0.7974 0.5000
Pt 0.2026 0.0589 0.5000
Pt 0.2974 0.5589 0.5000
Pt 0.4411 0.2974 0.5000
Pt 0.5000 0.0000 0.5000
Pt 0.5589 0.7026 0.5000
Pt 0.7026 0.4411 0.5000
Pt 0.7974 0.9411 0.5000
Pt 0.9411 0.2026 0.5000


Which of these has the highest total DFT energy (no corrections)?
PrZnGa3Pt